Material: Al2CoHg
Method: DFT, PBEsol
State: relaxed

a b c (Å): 2.9386 4.5033 4.8853
angles (deg): 101.11 90.00 109.04
Atoms (fractional coordinates):
Al 0.7319 0.4639 0.7101
Hg 0.5000 0.0000 0.0000
Al 0.2681 0.5361 0.2899
Co 0.0000 0.0000 0.5000

Computed properties:
distance to the lowest polymorph of the same formula = 0.1940 eV per atom
ρ = 8.7 g cm⁻³
crystal system = monoclinic
E_form = 0.0 eV/f.u.
D(E_F) = 2.32 states/eV/cell
total moment = 0.02 μB per cell
SG = No. 12



Material: NiPRu2
Method: DFT, PBEsol
State: relaxed

a b c (Å): 2.7944 2.7944 6.1541
angles (deg): 90.00 90.00 90.00
Atoms (fractional coordinates):
Ni 0.0000 0.0000 0.5422
Ru 0.5000 0.5000 0.2596
P 0.5000 0.5000 0.7288
Ru 0.0000 0.0000 0.9694

Computed properties:
ρ = 10.1 g cm⁻³
crystal system = tetragonal
E_form = -0.4 eV/f.u.
D(E_F) = 3.58 states/eV/cell
total moment = 0.00 μB per cell
SG = No. 99



Material: Si2RuAu
Method: DFT, PBEsol
State: relaxed

a b c (Å): 2.9752 2.9752 6.3780
angles (deg): 90.00 90.00 90.00
Atoms (fractional coordinates):
Ru 0.5000 0.5000 0.5000
Au 0.5000 0.5000 0.0000
Si 0.0000 0.0000 0.7224
Si 0.0000 0.0000 0.2776

Computed properties:
distance to the lowest polymorph of the same formula = 0.1814 eV per atom
ρ = 10.4 g cm⁻³
formation energy (no corrections) = -0.09 eV per atom
crystal system = tetragonal
D(E_F) = 2.32 states/eV/cell
total moment = 0.00 μB per cell
SG = No. 123



Material: BaGeH2Pb
Method: DFT, PBEsol
State: relaxed

a b c (Å): 4.3510 4.3510 7.0127
angles (deg): 90.00 90.00 90.00
Atoms (fractional coordinates):
Ba 0.0000 0.0000 0.5000
Ge 0.5000 0.5000 0.5000
H 0.5000 0.0000 0.0000
Pb 0.0000 0.0000 0.0000
H 0.0000 0.5000 0.0000

Computed properties:
ρ = 5.2 g cm⁻³
crystal system = tetragonal
D(E_F) = 4.41 states/eV/cell
total moment = 0.00 μB per cell
uncorrected energy = -2.9201 eV/atom
SG = No. 123



Material: LiMoOs2
Method: DFT, PBEsol
State: relaxed

a b c (Å): 2.7726 4.4182 4.5042
angles (deg): 90.00 90.00 90.00
Atoms (fractional coordinates):
Os 0.5000 0.0000 0.5000
Mo 0.0000 0.5000 0.5000
Os 0.0000 0.0000 0.0000
Li 0.5000 0.5000 0.0000

Computed properties:
distance to the lowest polymorph of the same formula = 0.2915 eV per atom
ρ = 14.5 g cm⁻³
crystal system = orthorhombic
E_form = 1.8 eV/f.u.
D(E_F) = 3.73 states/eV/cell
total moment = 0.00 μB per cell
SG = No. 47



Material: LaTc2Se
Method: DFT, PBEsol
State: relaxed

a b c (Å): 3.8884 3.8884 5.7753
angles (deg): 109.67 109.67 90.00
Atoms (fractional coordinates):
La 0.5000 0.5000 0.0000
Tc 0.7500 0.2500 0.5000
Se 0.0000 0.0000 0.0000
Tc 0.2500 0.7500 0.5000

Computed properties:
ρ = 8.9 g cm⁻³
formation energy (no corrections) = 0.25 eV per atom
crystal system = tetragonal
D(E_F) = 3.26 states/eV/cell
total moment = 0.00 μB per cell
SG = No. 139



Material: K2Na2NbW3O12
Method: DFT, PBEsol
State: relaxed

a b c (Å): 3.9265 7.8511 7.8541
angles (deg): 90.00 90.00 90.00
Atoms (fractional coordinates):
O 0.0000 0.2496 0.0000
O 0.5000 0.5044 0.0000
Na 0.5000 0.7473 0.7470
O 0.0000 0.7507 0.0000
O 0.0000 0.5047 0.7559
Nb 0.0000 0.5021 0.5000
K 0.5000 0.2503 0.2500
O 0.0000 0.9961 0.2495
O 0.5000 0.9962 0.5000
Na 0.5000 0.7473 0.2530
W 0.0000 0.9984 0.5000
W 0.0000 0.9979 0.0000
O 0.5000 0.5060 0.5000
O 0.0000 0.5047 0.2441
K 0.5000 0.2503 0.7500
O 0.5000 0.9959 0.0000
W 0.0000 0.5024 0.0000
O 0.0000 0.2439 0.5000
O 0.0000 0.9961 0.7505
O 0.0000 0.7557 0.5000

Computed properties:
ρ = 6.6 g cm⁻³
formation energy (no corrections) = -2.23 eV per atom
crystal system = orthorhombic
D(E_F) = 3.52 states/eV/cell
total moment = 0.00 μB per cell
SG = No. 25



Material: Li4V11O22
Method: DFT, PBEsol
State: relaxed

a b c (Å): 4.9364 8.6401 10.0156
angles (deg): 115.52 94.51 95.49
Each line ends with the local moment (μB).
Atoms (fractional coordinates):
V 0.3736 0.9514 0.2172  1.26
V 0.2896 0.5995 0.0452  1.27
O 0.9594 0.5685 0.1367  0.01
Li 0.7133 0.9145 0.4623  0.00
V 0.4670 0.3178 0.4152  1.26
O 0.3918 0.3889 0.0479  0.01
O 0.1371 0.3008 0.5002  0.01
O 0.3177 0.5141 0.4016  0.01
O 0.5011 0.7554 0.2390  0.02
Li 0.9997 0.0007 0.0001  0.00
O 0.6052 0.6096 0.9473  0.01
O 0.8714 0.2056 0.9609  0.01
V 0.5370 0.6717 0.5891  1.28
O 0.0413 0.9349 0.3164  0.01
Li 0.1179 0.3843 0.1891  0.00
O 0.5071 0.2442 0.7672  0.01
O 0.8615 0.7093 0.5010  0.00
Li 0.9064 0.6145 0.8082  0.00
O 0.6958 0.9736 0.1278  0.00
O 0.5851 0.1082 0.4104  0.02
O 0.0465 0.4340 0.8642  0.01
O 0.3027 0.0296 0.8741  0.01
O 0.9425 0.0643 0.6773  0.01
O 0.2130 0.6629 0.6849  0.00
V 0.8101 0.7692 0.1407  1.16
O 0.1308 0.7942 0.0362  0.02
V 0.1027 0.8708 0.6803  1.21
V 0.1860 0.2293 0.8486  1.17
O 0.7751 0.8407 0.7782  0.01
O 0.7773 0.3410 0.3108  0.01
O 0.6858 0.4781 0.6006  0.02
O 0.2302 0.1573 0.2230  0.01
V 0.6235 0.0434 0.7832  1.26
V 0.9938 0.5013 0.4960  1.21
V 0.7148 0.4036 0.9587  1.24
V 0.9062 0.1417 0.3231  1.17
O 0.4229 0.8829 0.5887  0.01

Computed properties:
ρ = 4.1 g cm⁻³
formation energy (no corrections) = -2.30 eV per atom
crystal system = triclinic
D(E_F) = 10.28 states/eV/cell
total moment = 14.80 μB per cell
SG = No. 1



Material: KScTe2N
Method: DFT, PBEsol
State: relaxed

a b c (Å): 3.9380 5.9035 5.9035
angles (deg): 90.00 90.00 90.00
Each line ends with the local moment (μB).
Atoms (fractional coordinates):
K 0.5000 0.5000 0.5000  0.00
Sc 0.0000 0.0000 0.0000  0.01
N 0.5000 0.0000 0.0000  0.19
Te 0.0000 0.5000 0.0000  0.01
Te 0.0000 0.0000 0.5000  0.01

Computed properties:
distance to the lowest polymorph of the same formula = 0.0000 eV per atom
ρ = 4.3 g cm⁻³
formation energy (no corrections) = -0.30 eV per atom
crystal system = tetragonal
D(E_F) = 5.39 states/eV/cell
total moment = 0.30 μB per cell
SG = No. 123



Material: AlWSF2
Method: DFT, PBEsol
State: relaxed

a b c (Å): 3.8544 3.8544 5.3845
angles (deg): 90.00 90.00 90.00
Atoms (fractional coordinates):
S 0.5000 0.5000 0.5000
F 0.0000 0.5000 0.0000
Al 0.0000 0.0000 0.5000
F 0.5000 0.0000 0.0000
W 0.0000 0.0000 0.0000

Computed properties:
ρ = 5.8 g cm⁻³
formation energy (no corrections) = -0.79 eV per atom
crystal system = tetragonal
D(E_F) = 1.82 states/eV/cell
total moment = 0.00 μB per cell
SG = No. 123



Material: Hf2ZrBeGe
Method: DFT, PBEsol
State: relaxed

a b c (Å): 4.8645 4.8645 4.9094
angles (deg): 90.00 90.00 90.00
Atoms (fractional coordinates):
Hf 0.0000 0.5000 0.0000
Zr 0.0000 0.0000 0.5000
Hf 0.5000 0.0000 0.0000
Ge 0.0000 0.0000 0.0000
Be 0.5000 0.5000 0.5000

Computed properties:
ρ = 7.6 g cm⁻³
crystal system = tetragonal
E_form = 3.4 eV/f.u.
D(E_F) = 2.47 states/eV/cell
total moment = 0.00 μB per cell
SG = No. 123



Material: La3MoF
Method: DFT, PBEsol
State: relaxed

a b c (Å): 5.4341 5.4341 5.4341
angles (deg): 90.00 90.00 90.00
Atoms (fractional coordinates):
La 0.0000 0.5000 0.0000
La 0.0000 0.0000 0.5000
F 0.5000 0.5000 0.5000
Mo 0.0000 0.0000 0.0000
La 0.5000 0.0000 0.0000

Computed properties:
ρ = 5.5 g cm⁻³
formation energy (no corrections) = -0.05 eV per atom
crystal system = cubic
D(E_F) = 5.87 states/eV/cell
total moment = 0.00 μB per cell
SG = No. 221



Material: MnIrCl3
Method: DFT, PBEsol
State: relaxed

a b c (Å): 4.7434 4.7434 4.7434
angles (deg): 90.00 90.00 90.00
Each line ends with the local moment (μB).
Atoms (fractional coordinates):
Cl 0.5000 0.0000 0.0000  0.03
Cl 0.0000 0.5000 0.0000  0.03
Cl 0.0000 0.0000 0.5000  0.03
Mn 0.5000 0.5000 0.5000  4.71
Ir 0.0000 0.0000 0.0000  -0.02

Computed properties:
ρ = 5.5 g cm⁻³
formation energy (no corrections) = 0.36 eV per atom
crystal system = cubic
D(E_F) = 3.09 states/eV/cell
total moment = 5.45 μB per cell
SG = No. 221



Material: GePdI2O
Method: DFT, PBEsol
State: relaxed

a b c (Å): 3.6174 5.5336 5.5336
angles (deg): 90.00 90.00 90.00
Atoms (fractional coordinates):
Pd 0.5000 0.5000 0.5000
Ge 0.0000 0.0000 0.0000
O 0.5000 0.0000 0.0000
I 0.0000 0.0000 0.5000
I 0.0000 0.5000 0.0000

Computed properties:
distance to the lowest polymorph of the same formula = 0.0000 eV per atom
ρ = 6.7 g cm⁻³
formation energy (no corrections) = 0.02 eV per atom
crystal system = tetragonal
D(E_F) = 5.11 states/eV/cell
total moment = 0.00 μB per cell
SG = No. 123



Material: KMg3V3CuO12
Method: DFT, PBEsol
State: relaxed

a b c (Å): 6.8473 8.7675 8.7675
angles (deg): 92.51 104.66 104.66
Each line ends with the local moment (μB).
Atoms (fractional coordinates):
K 0.7500 0.4841 0.5159  0.00
O 0.7311 0.0093 0.7717  0.10
K 0.2500 0.5159 0.4841  0.00
O 0.9765 0.3190 0.7519  0.00
O 0.6109 0.6819 0.6730  0.01
O 0.8785 0.8322 0.4863  0.00
O 0.5235 0.2481 0.6810  0.00
Mg 0.1231 0.5515 0.8749  0.00
O 0.2311 0.7717 0.0093  0.10
O 0.1796 0.4720 0.1000  0.00
V 0.7500 0.2104 0.7896  -0.03
V 0.1208 0.8524 0.6190  0.02
Mg 0.2500 0.2401 0.7599  0.00
Cu 0.2500 0.9964 0.0036  0.56
Cu 0.7500 0.0036 0.9964  0.56
O 0.2689 0.9907 0.2283  0.10
V 0.6208 0.6190 0.8524  0.02
O 0.3891 0.3181 0.3270  0.01
O 0.8204 0.5280 0.9000  0.00
O 0.4765 0.7519 0.3190  0.00
O 0.1755 0.9946 0.7798  0.07
V 0.8792 0.1476 0.3810  0.02
O 0.1215 0.1678 0.5137  0.00
Mg 0.7500 0.7599 0.2401  0.00
Mg 0.3769 0.1251 0.4485  0.00
O 0.6796 0.1000 0.4720  0.00
O 0.8891 0.3270 0.3181  0.01
O 0.1109 0.6730 0.6819  0.01
Mg 0.8769 0.4485 0.1251  0.00
O 0.6215 0.5137 0.1678  0.00
O 0.8245 0.0054 0.2202  0.07
O 0.6755 0.7798 0.9946  0.07
O 0.3245 0.2202 0.0054  0.07
O 0.7689 0.2283 0.9907  0.10
V 0.2500 0.7896 0.2104  -0.03
V 0.3792 0.3810 0.1476  0.02
O 0.3204 0.9000 0.5280  0.00
O 0.3785 0.4863 0.8322  0.00
O 0.0235 0.6810 0.2481  0.00
Mg 0.6231 0.8749 0.5515  0.00

Computed properties:
ρ = 3.5 g cm⁻³
formation energy (no corrections) = -2.34 eV per atom
crystal system = monoclinic
total moment = 2.00 μB per cell
SG = No. 15



Material: Zn4CrCl
Method: DFT, PBEsol
State: relaxed

a b c (Å): 5.1813 5.1813 5.1813
angles (deg): 60.00 60.00 60.00
Each line ends with the local moment (μB).
Atoms (fractional coordinates):
Zn 0.3739 0.3739 0.8784  -0.03
Zn 0.3739 0.3739 0.3739  -0.03
Zn 0.3739 0.8784 0.3739  -0.03
Zn 0.8784 0.3739 0.3739  -0.03
Cl 0.7500 0.7500 0.7500  0.00
Cr 0.0000 0.0000 0.0000  3.77

Computed properties:
ρ = 5.9 g cm⁻³
formation energy (no corrections) = 0.34 eV per atom
crystal system = cubic
D(E_F) = 3.16 states/eV/cell
total moment = 4.11 μB per cell
SG = No. 216



Material: Mn2CoO6
Method: DFT, PBEsol
State: relaxed

a b c (Å): 2.8266 5.6927 6.3487
angles (deg): 103.66 102.86 90.00
Each line ends with the local moment (μB).
Atoms (fractional coordinates):
O 0.8450 0.3916 0.6899  0.00
Co 0.0000 0.5000 0.0000  -0.55
O 0.1765 0.0583 0.3531  0.03
Mn 0.6657 0.8313 0.3315  2.72
O 0.8235 0.9417 0.6469  0.03
O 0.5101 0.7175 0.0203  -0.03
O 0.1550 0.6084 0.3101  0.00
O 0.4899 0.2825 0.9797  -0.03
Mn 0.3343 0.1687 0.6685  2.72

Computed properties:
ρ = 4.6 g cm⁻³
formation energy (no corrections) = -1.34 eV per atom
crystal system = monoclinic
D(E_F) = 4.54 states/eV/cell
total moment = 5.00 μB per cell
SG = No. 12



Material: ZnCrRe2
Method: DFT, PBEsol
State: relaxed

a b c (Å): 2.7014 2.7014 7.4112
angles (deg): 90.00 90.00 90.00
Atoms (fractional coordinates):
Cr 0.5000 0.5000 0.5000
Zn 0.5000 0.5000 0.0000
Re 0.0000 0.0000 0.7339
Re 0.0000 0.0000 0.2661

Computed properties:
ρ = 15.0 g cm⁻³
crystal system = tetragonal
E_form = 1.0 eV/f.u.
D(E_F) = 2.91 states/eV/cell
total moment = 0.00 μB per cell
SG = No. 123



Material: KTaSb
Method: DFT, PBEsol
State: relaxed

a b c (Å): 3.1161 3.1161 8.1141
angles (deg): 101.07 101.07 90.00
Atoms (fractional coordinates):
Ta 0.3092 0.3092 0.6183
Sb 0.6862 0.6862 0.3724
K 0.0046 0.0046 0.0092

Computed properties:
distance to the lowest polymorph of the same formula = 0.0000 eV per atom
ρ = 7.5 g cm⁻³
formation energy (no corrections) = 0.52 eV per atom
crystal system = tetragonal
D(E_F) = 2.37 states/eV/cell
total moment = 0.00 μB per cell
SG = No. 107



Material: RbCr3O8
Method: DFT, PBEsol
State: relaxed

a b c (Å): 5.1090 5.1090 7.9337
angles (deg): 85.88 85.88 63.99
Each line ends with the local moment (μB).
Atoms (fractional coordinates):
Cr 0.6305 0.6305 0.6972  0.24
O 0.7785 0.2706 0.6696  0.00
O 0.3218 0.3218 0.1111  0.03
O 0.2706 0.7785 0.6696  0.00
O 0.6782 0.6782 0.8889  0.03
Rb 0.0000 0.0000 0.0000  0.00
O 0.7294 0.2215 0.3304  0.00
Cr 0.3695 0.3695 0.3028  0.24
O 0.7844 0.7844 0.5599  -0.05
Cr 0.0000 0.0000 0.5000  2.39
O 0.2156 0.2156 0.4401  -0.05
O 0.2215 0.7294 0.3304  0.00

Computed properties:
ρ = 3.3 g cm⁻³
formation energy (no corrections) = -1.89 eV per atom
crystal system = monoclinic
D(E_F) = 0.50 states/eV/cell
total moment = 3.01 μB per cell
SG = No. 12